## i
Li3YTi: relaxed, PBE.

```
data_Li3YTi
_space_group_name_H-M_alt 'P m -3 m'
_space_group_IT_number 221
_space_group_name_Hall '-P 4 2 3'
_cell_length_a 4.951
_cell_length_b 4.951
_cell_length_c 4.951
_cell_angle_alpha 90.00
_cell_angle_beta 90.00
_cell_angle_gamma 90.00
loop_
_atom_site_label
_atom_site_fract_x
_atom_site_fract_y
_atom_site_fract_z
Li1 0.000 0.000 0.500
Y1 0.000 0.000 0.000
Ti1 0.500 0.500 0.500
```

Summary:
- spin magnetization (μB/atom) = 0.405
- crystal system = cubic



## ii
Li3YTi: relaxed, PBE.

```
data_Li3YTi
_space_group_name_H-M_alt 'P m -3 m'
_space_group_IT_number 221
_space_group_name_Hall '-P 4 2 3'
_cell_length_a 4.922
_cell_length_b 4.922
_cell_length_c 4.922
_cell_angle_alpha 90.00
_cell_angle_beta 90.00
_cell_angle_gamma 90.00
loop_
_atom_site_label
_atom_site_fract_x
_atom_site_fract_y
_atom_site_fract_z
Li1 0.000 0.000 0.500
Y1 0.500 0.500 0.500
Ti1 0.000 0.000 0.000
```

Summary:
- spin magnetization (μB/atom) = 0.728
- crystal system = cubic



Computed stability ranking, most favorable first: ii, i



## i
LiYTi3: relaxed, PBE.

```
data_LiYTi3
_space_group_name_H-M_alt 'P m -3 m'
_space_group_IT_number 221
_space_group_name_Hall '-P 4 2 3'
_cell_length_a 5.006
_cell_length_b 5.006
_cell_length_c 5.006
_cell_angle_alpha 90.00
_cell_angle_beta 90.00
_cell_angle_gamma 90.00
loop_
_atom_site_label
_atom_site_fract_x
_atom_site_fract_y
_atom_site_fract_z
Li1 0.000 0.000 0.000
Y1 0.500 0.500 0.500
Ti1 0.000 0.500 0.500
```

Summary:
- spin magnetization (μB/atom) = 0.648
- crystal system = cubic



## ii
LiYTi3: relaxed, PBE.

```
data_LiYTi3
_space_group_name_H-M_alt 'P m -3 m'
_space_group_IT_number 221
_space_group_name_Hall '-P 4 2 3'
_cell_length_a 4.668
_cell_length_b 4.668
_cell_length_c 4.668
_cell_angle_alpha 90.00
_cell_angle_beta 90.00
_cell_angle_gamma 90.00
loop_
_atom_site_label
_atom_site_fract_x
_atom_site_fract_y
_atom_site_fract_z
Li1 0.000 0.000 0.000
Y1 0.500 0.500 0.500
Ti1 0.000 0.000 0.500
```

Summary:
- spin magnetization (μB/atom) = 0.448
- crystal system = cubic



Computed stability ranking, most favorable first: ii, i



## i
LiTiZn2: relaxed, PBE.

```
data_LiTiZn2
_space_group_name_H-M_alt 'P 4/m m m'
_space_group_IT_number 123
_space_group_name_Hall '-P 4 2'
_cell_length_a 4.495
_cell_length_b 4.495
_cell_length_c 3.047
_cell_angle_alpha 90.00
_cell_angle_beta 90.00
_cell_angle_gamma 90.00
loop_
_atom_site_label
_atom_site_fract_x
_atom_site_fract_y
_atom_site_fract_z
Li1 0.000 0.000 0.000
Ti1 0.500 0.500 0.000
Zn1 0.000 0.500 0.500
```

Summary:
- spin magnetization (μB/atom) = 0.000
- crystal system = tetragonal



## ii
LiTiZn2: relaxed, PBE.

```
data_LiTiZn2
_space_group_name_H-M_alt 'I -4 2 d'
_space_group_IT_number 122
_space_group_name_Hall 'I -4 2bw'
_cell_length_a 6.889
_cell_length_b 6.889
_cell_length_c 5.481
_cell_angle_alpha 90.00
_cell_angle_beta 90.00
_cell_angle_gamma 90.00
loop_
_atom_site_label
_atom_site_fract_x
_atom_site_fract_y
_atom_site_fract_z
Li1 0.000 0.000 0.000
Ti1 0.000 0.000 0.500
Zn1 0.229 0.750 0.125
```

Summary:
- spin magnetization (μB/atom) = 0.000
- crystal system = tetragonal



## iii
LiTiZn2: relaxed, PBE.

```
data_LiTiZn2
_space_group_name_H-M_alt 'F m -3 m'
_space_group_IT_number 225
_space_group_name_Hall '-F 4 2 3'
_cell_length_a 6.207
_cell_length_b 6.207
_cell_length_c 6.207
_cell_angle_alpha 90.00
_cell_angle_beta 90.00
_cell_angle_gamma 90.00
loop_
_atom_site_label
_atom_site_fract_x
_atom_site_fract_y
_atom_site_fract_z
Li1 0.000 0.000 0.000
Ti1 0.000 0.000 0.500
Zn1 0.250 0.250 0.250
```

Summary:
- spin magnetization (μB/atom) = 0.000
- crystal system = cubic



## iv
LiTiZn2: relaxed, PBE.

```
data_LiTiZn2
_space_group_name_H-M_alt 'R -3 m'
_space_group_IT_number 166
_space_group_name_Hall '-R 3 2"'
_cell_length_a 2.7748
_cell_length_b 2.7748
_cell_length_c 28.0232
_cell_angle_alpha 90.00
_cell_angle_beta 90.00
_cell_angle_gamma 120.00
loop_
_atom_site_label
_atom_site_fract_x
_atom_site_fract_y
_atom_site_fract_z
Li1 0.0000 0.0000 0.0000
Ti1 0.0000 0.0000 0.5000
Zn1 0.0000 0.0000 0.2514
```

Summary:
- spin magnetization (μB/atom) = 0.000
- crystal system = trigonal



Computed stability ranking, most favorable first: i, iii, iv, ii



## i
LiTiZn2: relaxed, PBE.

```
data_LiTiZn2
_space_group_name_H-M_alt 'P 4/m m m'
_space_group_IT_number 123
_space_group_name_Hall '-P 4 2'
_cell_length_a 2.941
_cell_length_b 2.941
_cell_length_c 6.926
_cell_angle_alpha 90.00
_cell_angle_beta 90.00
_cell_angle_gamma 90.00
loop_
_atom_site_label
_atom_site_fract_x
_atom_site_fract_y
_atom_site_fract_z
Li1 0.000 0.000 0.000
Ti1 0.000 0.000 0.500
Zn1 0.500 0.500 0.238
```

Summary:
- spin magnetization (μB/atom) = 0.011
- crystal system = tetragonal



## ii
LiTiZn2: relaxed, PBE.

```
data_LiTiZn2
_space_group_name_H-M_alt 'R 3 m'
_space_group_IT_number 160
_space_group_name_Hall 'R 3 -2"'
_cell_length_a 2.7607
_cell_length_b 2.7607
_cell_length_c 28.2013
_cell_angle_alpha 90.00
_cell_angle_beta 90.00
_cell_angle_gamma 120.00
loop_
_atom_site_label
_atom_site_fract_x
_atom_site_fract_y
_atom_site_fract_z
Li1 0.0000 0.0000 0.0000
Ti1 0.0000 0.0000 0.1675
Zn1 0.0000 0.0000 0.5857
Zn2 0.0000 0.0000 0.7491
```

Summary:
- spin magnetization (μB/atom) = 0.000
- crystal system = trigonal



Computed stability ranking, most favorable first: i, ii